# 1
{"formula": "MgTi2Rh8", "functional": "GGA-PBE", "state": "optimized geometry", "lattice": [[-2.046, 3.406, 5.909], [2.046, -3.406, 5.909], [2.046, 3.406, -5.909]], "species": ["Mg", "Ti", "Ti", "Rh", "Rh", "Rh", "Rh", "Rh", "Rh", "Rh", "Rh"], "frac_coords": [[0.000, 0.000, 0.000], [0.296, 0.296, 0.000], [0.704, 0.704, 0.000], [0.135, 0.846, 0.289], [0.149, 0.649, 0.500], [0.309, 0.500, 0.809], [0.443, 0.154, 0.289], [0.557, 0.846, 0.711], [0.691, 0.500, 0.191], [0.851, 0.351, 0.500], [0.865, 0.154, 0.711]], "n_ef_per_ev_cell": 12.6, "formation_enthalpy_0k_ev_per_atom": -0.340}

=====

# 2
{"formula": "Ac2TmIn12Rh3", "functional": "GGA-PBE", "state": "optimized geometry", "lattice": [[4.885, 2.820, 6.539], [-4.885, 2.820, 6.539], [0.000, -5.641, 6.539]], "species": ["Ac", "Ac", "Tm", "In", "In", "In", "In", "In", "In", "In", "In", "In", "In", "In", "In", "Rh", "Rh", "Rh"], "frac_coords": [[0.089, 0.089, 0.089], [0.911, 0.911, 0.911], [0.500, 0.500, 0.500], [0.091, 0.652, 0.652], [0.221, 0.221, 0.617], [0.221, 0.617, 0.221], [0.348, 0.348, 0.909], [0.348, 0.909, 0.348], [0.383, 0.779, 0.779], [0.617, 0.221, 0.221], [0.652, 0.091, 0.652], [0.652, 0.652, 0.091], [0.779, 0.383, 0.779], [0.779, 0.779, 0.383], [0.909, 0.348, 0.348], [0.000, 0.500, 0.500], [0.500, 0.000, 0.500], [0.500, 0.500, 0.000]], "n_ef_per_ev_cell": 13.7, "formation_enthalpy_0k_ev_per_atom": -0.044}

=====

# 3
{"formula": "LaCdIn5", "functional": "GGA-PBE", "state": "optimized geometry", "lattice": [[5.056, 0.000, 0.000], [0.000, 5.056, 0.000], [0.000, 0.000, 7.584]], "species": ["La", "Cd", "In", "In", "In", "In", "In"], "frac_coords": [[0.000, 0.000, 0.000], [0.000, 0.000, 0.500], [0.000, 0.500, 0.289], [0.000, 0.500, 0.711], [0.500, 0.000, 0.289], [0.500, 0.000, 0.711], [0.500, 0.500, 0.000]], "n_ef_per_ev_cell": 2.2, "formation_enthalpy_0k_ev_per_atom": -0.234}

=====

# 4
{"formula": "Pr3AsSeCl", "functional": "GGA-PBE", "state": "optimized geometry", "lattice": [[8.697, 0.000, 0.000], [0.000, 4.193, 0.000], [-0.444, 0.000, 10.254]], "species": ["Pr", "Pr", "Pr", "Pr", "Pr", "Pr", "As", "As", "Se", "Se", "Cl", "Cl"], "frac_coords": [[0.117, 0.250, 0.353], [0.161, 0.250, 0.929], [0.375, 0.750, 0.635], [0.625, 0.250, 0.365], [0.839, 0.750, 0.071], [0.883, 0.750, 0.647], [0.130, 0.250, 0.643], [0.870, 0.750, 0.357], [0.372, 0.750, 0.340], [0.628, 0.250, 0.660], [0.381, 0.750, 0.916], [0.619, 0.250, 0.084]], "n_ef_per_ev_cell": 5.8, "formation_energy_uncorrected_kcal_per_mol_atoms": -34.94}

=====

# 5
{"formula": "SrZr2AlNi", "functional": "GGA-PBE", "state": "optimized geometry", "lattice": [[4.932, 0.000, 0.000], [0.000, 4.932, 0.000], [0.000, 0.000, 5.384]], "species": ["Sr", "Zr", "Zr", "Al", "Ni"], "frac_coords": [[0.000, 0.000, 0.000], [0.000, 0.500, 0.500], [0.500, 0.000, 0.500], [0.500, 0.500, 0.000], [0.000, 0.000, 0.500]], "n_ef_per_ev_cell": 6.8, "formation_enthalpy_0k_ev_per_atom": 0.375}

=====

# 6
{"formula": "Tb3TmPu2S6", "functional": "GGA-PBE", "state": "optimized geometry", "lattice": [[3.390, -5.873, 0.000], [3.390, 5.873, 0.000], [-2.257, 0.000, 6.427]], "species": ["Tb", "Tb", "Tb", "Tm", "Pu", "Pu", "S", "S", "S", "S", "S", "S"], "frac_coords": [[0.000, 0.000, 0.000], [0.332, 0.668, 0.000], [0.668, 0.332, 0.000], [0.500, 0.500, 0.500], [0.166, 0.834, 0.500], [0.834, 0.166, 0.500], [0.089, 0.417, 0.252], [0.255, 0.255, 0.750], [0.417, 0.089, 0.252], [0.583, 0.911, 0.748], [0.745, 0.745, 0.250], [0.911, 0.583, 0.748]], "n_ef_per_ev_cell": 15.8, "formation_energy_uncorrected_kcal_per_mol_atoms": -44.73}

=====

# 7
{"formula": "Ta2BRu6", "functional": "GGA-PBE", "state": "optimized geometry", "lattice": [[-2.239, 3.563, 4.185], [2.239, -3.563, 4.185], [2.239, 3.563, -4.185]], "species": ["Ta", "Ta", "B", "Ru", "Ru", "Ru", "Ru", "Ru", "Ru"], "frac_coords": [[0.187, 0.187, 0.000], [0.813, 0.813, 0.000], [0.500, 0.500, 0.000], [0.055, 0.349, 0.706], [0.330, 0.000, 0.330], [0.357, 0.651, 0.706], [0.643, 0.349, 0.294], [0.670, 0.000, 0.670], [0.945, 0.651, 0.294]], "n_ef_per_ev_cell": 8.3, "formation_enthalpy_0k_ev_per_atom": 0.131}

=====

# 8
{"formula": "TcMoSe2", "functional": "GGA-PBE", "state": "optimized geometry", "lattice": [[1.541, 0.890, 7.792], [-1.541, 0.890, 7.792], [0.000, -1.780, 7.792]], "species": ["Tc", "Mo", "Se", "Se"], "frac_coords": [[0.000, 0.000, 0.000], [0.500, 0.500, 0.500], [0.250, 0.250, 0.250], [0.750, 0.750, 0.750]], "n_ef_per_ev_cell": 5.0, "formation_energy_uncorrected_kcal_per_mol_atoms": 4.10, "polymorph_energy_ev_per_atom": 0.364}

=====

# 9
{"formula": "DyThPb", "functional": "GGA-PBE", "state": "optimized geometry", "lattice": [[-2.070, 2.070, 5.250], [2.070, -2.070, 5.250], [2.070, 2.070, -5.250]], "species": ["Dy", "Th", "Pb"], "frac_coords": [[0.000, 0.000, 0.000], [0.689, 0.689, 0.000], [0.354, 0.354, 0.000]], "n_ef_per_ev_cell": 3.4, "formation_enthalpy_0k_ev_per_atom": -0.178, "polymorph_energy_ev_per_atom": 0.168}

=====

# 10
{"formula": "BMoS2N", "functional": "GGA-PBE", "state": "optimized geometry", "lattice": [[4.901, 0.000, 0.000], [0.000, 4.901, 0.000], [0.000, 0.000, 2.701]], "species": ["B", "Mo", "S", "S", "N"], "frac_coords": [[0.000, 0.000, 0.000], [0.500, 0.500, 0.500], [0.000, 0.500, 0.000], [0.500, 0.000, 0.000], [0.000, 0.000, 0.500]], "n_ef_per_ev_cell": 2.6, "formation_energy_uncorrected_kcal_per_mol_atoms": 12.86, "polymorph_energy_ev_per_atom": 0.000}

=====

# 11
{"formula": "SrLiEuPb", "functional": "GGA-PBE", "state": "optimized geometry", "lattice": [[0.000, 4.031, 4.031], [4.031, 0.000, 4.031], [4.031, 4.031, 0.000]], "species": ["Sr", "Li", "Eu", "Pb"], "frac_coords": [[0.000, 0.000, 0.000], [0.750, 0.750, 0.750], [0.500, 0.500, 0.500], [0.250, 0.250, 0.250]], "n_ef_per_ev_cell": 12.9, "formation_enthalpy_0k_ev_per_atom": -0.360}

=====

# 12
{"formula": "NiP", "functional": "GGA-PBE", "state": "optimized geometry", "lattice": [[4.603, 0.000, 0.000], [0.000, 3.637, 0.000], [0.000, 0.000, 6.460]], "species": ["Ni", "Ni", "Ni", "Ni", "P", "P", "P", "P"], "frac_coords": [[0.091, 0.250, 0.158], [0.409, 0.750, 0.658], [0.591, 0.250, 0.342], [0.909, 0.750, 0.842], [0.212, 0.250, 0.826], [0.288, 0.750, 0.326], [0.712, 0.250, 0.674], [0.788, 0.750, 0.174]], "n_ef_per_ev_cell": 4.3, "formation_enthalpy_0k_ev_per_atom": -0.286}

=====

# 13
{"formula": "PuNpNiRh", "functional": "GGA-PBE", "state": "optimized geometry", "lattice": [[0.000, 3.176, 3.176], [3.176, 0.000, 3.176], [3.176, 3.176, 0.000]], "species": ["Pu", "Np", "Ni", "Rh"], "frac_coords": [[0.000, 0.000, 0.000], [0.250, 0.250, 0.250], [0.750, 0.750, 0.750], [0.500, 0.500, 0.500]], "n_ef_per_ev_cell": 10.0, "formation_enthalpy_0k_ev_per_atom": -0.301}

=====

# 14
{"formula": "Ba3Tl6Cd2In", "functional": "GGA-PBE", "state": "optimized geometry", "lattice": [[6.580, 0.000, 0.000], [-3.290, 5.698, 0.000], [0.000, 0.000, 11.188]], "species": ["Ba", "Ba", "Ba", "Tl", "Tl", "Tl", "Tl", "Tl", "Tl", "Cd", "Cd", "In"], "frac_coords": [[0.000, 0.000, 0.000], [0.333, 0.667, 0.589], [0.667, 0.333, 0.411], [0.170, 0.341, 0.265], [0.170, 0.830, 0.265], [0.341, 0.170, 0.735], [0.659, 0.830, 0.265], [0.830, 0.170, 0.735], [0.830, 0.659, 0.735], [0.333, 0.667, 0.944], [0.667, 0.333, 0.056], [0.000, 0.000, 0.500]], "n_ef_per_ev_cell": 6.5, "formation_enthalpy_0k_ev_per_atom": -0.184}

=====

# 15
{"formula": "BSI2N", "functional": "GGA-PBE", "state": "optimized geometry", "lattice": [[6.057, 0.000, 0.000], [0.000, 6.057, 0.000], [0.000, 0.000, 3.349]], "species": ["B", "S", "I", "I", "N"], "frac_coords": [[0.000, 0.000, 0.000], [0.500, 0.500, 0.500], [0.000, 0.500, 0.500], [0.500, 0.000, 0.500], [0.500, 0.500, 0.000]], "n_ef_per_ev_cell": 2.0, "formation_energy_uncorrected_kcal_per_mol_atoms": 36.16, "polymorph_energy_ev_per_atom": 1.267}

=====

# 16
{"formula": "Pr4NdHo7", "functional": "GGA-PBE", "state": "optimized geometry", "lattice": [[6.093, -2.971, 0.000], [6.093, 2.971, 0.000], [-6.010, 0.000, 11.371]], "species": ["Pr", "Pr", "Pr", "Pr", "Nd", "Ho", "Ho", "Ho", "Ho", "Ho", "Ho", "Ho"], "frac_coords": [[0.136, 0.136, 0.277], [0.274, 0.274, 0.832], [0.726, 0.726, 0.168], [0.864, 0.864, 0.723], [0.500, 0.500, 0.500], [0.000, 0.000, 0.500], [0.133, 0.133, 0.996], [0.289, 0.289, 0.577], [0.432, 0.432, 0.184], [0.568, 0.568, 0.816], [0.711, 0.711, 0.423], [0.867, 0.867, 0.004]], "n_ef_per_ev_cell": 19.5, "formation_enthalpy_0k_ev_per_atom": 0.251, "polymorph_energy_ev_per_atom": 0.166}

=====

# 17
{"formula": "MnCuCSBr", "functional": "GGA-PBE", "state": "optimized geometry", "lattice": [[3.944, 0.000, 0.000], [0.000, 3.612, 0.000], [-0.984, 0.000, 7.164]], "species": ["Mn", "Cu", "C", "S", "Br"], "frac_coords": [[0.000, 0.000, 0.000], [0.495, 0.500, 0.056], [0.466, 0.000, 0.922], [0.649, 0.000, 0.724], [0.040, 0.500, 0.286]], "n_ef_per_ev_cell": 1.1, "formation_energy_uncorrected_kcal_per_mol_atoms": 2.63, "polymorph_energy_ev_per_atom": 0.000}

=====

# 18
{"formula": "Th4UO10", "functional": "GGA-PBE", "state": "optimized geometry", "lattice": [[1.973, 1.139, 16.144], [-1.973, 1.139, 16.144], [0.000, -2.279, 16.144]], "species": ["Th", "Th", "Th", "Th", "U", "O", "O", "O", "O", "O", "O", "O", "O", "O", "O"], "frac_coords": [[0.101, 0.101, 0.101], [0.300, 0.300, 0.300], [0.700, 0.700, 0.700], [0.899, 0.899, 0.899], [0.500, 0.500, 0.500], [0.051, 0.051, 0.051], [0.151, 0.151, 0.151], [0.249, 0.249, 0.249], [0.350, 0.350, 0.350], [0.451, 0.451, 0.451], [0.549, 0.549, 0.549], [0.650, 0.650, 0.650], [0.751, 0.751, 0.751], [0.849, 0.849, 0.849], [0.949, 0.949, 0.949]], "n_ef_per_ev_cell": 7.2, "formation_energy_uncorrected_kcal_per_mol_atoms": -86.66}

=====

# 19
{"formula": "SrLiCaPr", "functional": "GGA-PBE", "state": "optimized geometry", "lattice": [[0.000, 4.239, 4.239], [4.239, 0.000, 4.239], [4.239, 4.239, 0.000]], "species": ["Sr", "Li", "Ca", "Pr"], "frac_coords": [[0.000, 0.000, 0.000], [0.250, 0.250, 0.250], [0.750, 0.750, 0.750], [0.500, 0.500, 0.500]], "n_ef_per_ev_cell": 5.9, "formation_enthalpy_0k_ev_per_atom": 0.193}

=====

# 20
{"formula": "TlHgPbCl6", "functional": "GGA-PBE", "state": "optimized geometry", "lattice": [[7.122, 0.000, 0.000], [-3.561, 6.168, 0.000], [0.000, 0.000, 12.640]], "species": ["Tl", "Tl", "Hg", "Hg", "Pb", "Pb", "Cl", "Cl", "Cl", "Cl", "Cl", "Cl", "Cl", "Cl", "Cl", "Cl", "Cl", "Cl"], "frac_coords": [[0.000, 0.000, 0.000], [0.000, 0.000, 0.500], [0.333, 0.667, 0.250], [0.667, 0.333, 0.750], [0.333, 0.667, 0.750], [0.667, 0.333, 0.250], [0.019, 0.353, 0.128], [0.019, 0.666, 0.372], [0.334, 0.353, 0.372], [0.334, 0.981, 0.128], [0.353, 0.019, 0.628], [0.353, 0.334, 0.872], [0.647, 0.666, 0.128], [0.647, 0.981, 0.372], [0.666, 0.019, 0.872], [0.666, 0.647, 0.628], [0.981, 0.334, 0.628], [0.981, 0.647, 0.872]], "n_ef_per_ev_cell": 11.0, "formation_energy_uncorrected_kcal_per_mol_atoms": -17.83}

=====

# 21
{"formula": "AgSb2P", "functional": "GGA-PBE", "state": "optimized geometry", "lattice": [[3.467, 0.000, 0.000], [0.000, 5.072, 0.000], [-0.006, 0.000, 5.783]], "species": ["Ag", "Sb", "Sb", "P"], "frac_coords": [[0.000, 0.000, 0.000], [0.000, 0.000, 0.514], [0.498, 0.500, 0.019], [0.999, 0.500, 0.349]], "n_ef_per_ev_cell": 2.0, "formation_energy_uncorrected_kcal_per_mol_atoms": 5.33}

=====

# 22
{"formula": "MnAl2Zn2", "functional": "GGA-PBE", "state": "optimized geometry", "lattice": [[6.607, 0.000, 0.000], [0.000, 6.607, 0.000], [0.000, 0.000, 3.336]], "species": ["Mn", "Mn", "Al", "Al", "Al", "Al", "Zn", "Zn", "Zn", "Zn"], "frac_coords": [[0.000, 0.000, 0.000], [0.500, 0.500, 0.000], [0.174, 0.326, 0.500], [0.326, 0.826, 0.500], [0.674, 0.174, 0.500], [0.826, 0.674, 0.500], [0.132, 0.632, 0.000], [0.368, 0.132, 0.000], [0.632, 0.868, 0.000], [0.868, 0.368, 0.000]], "n_ef_per_ev_cell": 12.8, "formation_enthalpy_0k_ev_per_atom": 0.312}

=====

# 23
{"formula": "KZnBr3O2", "functional": "GGA-PBE", "state": "optimized geometry", "lattice": [[7.477, 0.000, 0.000], [0.000, 15.423, 0.000], [-3.485, 0.000, 8.226]], "species": ["K", "K", "K", "K", "Zn", "Zn", "Zn", "Zn", "Br", "Br", "Br", "Br", "Br", "Br", "Br", "Br", "Br", "Br", "Br", "Br", "O", "O", "O", "O", "O", "O", "O", "O"], "frac_coords": [[0.080, 0.178, 0.056], [0.080, 0.322, 0.556], [0.920, 0.678, 0.444], [0.920, 0.822, 0.944], [0.005, 0.043, 0.663], [0.005, 0.457, 0.163], [0.995, 0.543, 0.837], [0.995, 0.957, 0.337], [0.191, 0.668, 0.854], [0.191, 0.832, 0.354], [0.212, 0.509, 0.420], [0.212, 0.991, 0.920], [0.345, 0.116, 0.514], [0.345, 0.384, 0.014], [0.655, 0.616, 0.986], [0.655, 0.884, 0.486], [0.788, 0.009, 0.080], [0.788, 0.491, 0.580], [0.809, 0.168, 0.646], [0.809, 0.332, 0.146], [0.147, 0.045, 0.508], [0.147, 0.455, 0.008], [0.240, 0.205, 0.396], [0.240, 0.295, 0.896], [0.760, 0.705, 0.104], [0.760, 0.795, 0.604], [0.853, 0.545, 0.992], [0.853, 0.955, 0.492]], "n_ef_per_ev_cell": 0.0, "formation_energy_uncorrected_kcal_per_mol_atoms": -18.06}

=====

no.,V (Å³ per cell)
1,164.7
2,540.6
3,193.9
4,373.9
5,131.0
6,255.9
7,133.5
8,64.1
9,90.0
10,64.9
11,131.0
12,108.1
13,64.1
14,419.5
15,122.9
16,411.6
17,102.1
18,217.8
19,152.3
20,555.2
21,101.7
22,145.6
23,948.6